VASP calculation (PBE) on crystalline Cs3Nd2I8 at its relaxed geometry.

a b c (Å): 8.4603 10.0672 11.1390
angles (deg): 91.11 111.24 113.95
Last column: nearest neighbours and their distance in Å.
Space group P-1 (No. 2)
Asymmetric unit:
Cs (0.0000, 0.0000, 0.0000)  6 I 3.89-4.01
Cs (0.4717, 0.7583, 0.2982)  6 I 3.82-4.14
Nd (0.1864, 0.5880, 0.6802)  5 I 3.07-3.23
I (0.1437, 0.3060, 0.7930)  1 Nd 3.07
I (0.2055, 0.4143, 0.4434)  2 Nd 3.09-3.23
I (0.2353, 0.7618, 0.9344)  1 Nd 3.10
I (0.4707, 0.1459, 0.3325)  1 Nd 3.10

Calculated values
ΔE_f (raw)   -1397.4 meV per atom